1) Entry from Alexandria via LeMat-Bulk: a relaxed Ce2YCo2 crystal (PBE).

Structure (POSCAR):
```
Ce2YCo2
1.0
3.549 0.000 0.932
1.887 7.610 0.035
-0.224 -1.647 8.079
Ce Y Co
4 2 4
Direct
0.973 0.390 0.665
0.846 0.244 0.064
0.027 0.610 0.335
0.154 0.756 0.936
0.339 0.008 0.315
0.661 0.992 0.685
0.346 0.378 0.930
0.377 0.679 0.567
0.623 0.321 0.433
0.654 0.622 0.070
```

Values from the calculation:
* theoretical density: 7.45 g cm⁻³
* DOS(E_F): 14.85 states/eV per cell
* SG: No. 12

2) Entry from Alexandria via LeMat-Bulk: a relaxed Ce2YCo2 crystal (PBE).

Structure (POSCAR):
```
Ce2YCo2
1.0
4.190 0.394 1.154
-0.505 4.178 1.154
0.400 0.496 6.240
Co Ce Y
2 2 1
Direct
0.454 0.454 0.203
0.546 0.546 0.797
0.764 0.236 0.500
0.236 0.764 0.500
0.000 0.000 0.000
```

Values from the calculation:
* theoretical density: 7.62 g cm⁻³
* DOS(E_F): 8.40 states/eV per cell
* SG: No. 12

Which of them is least stable? Easy: 2).

1) Entry from Alexandria via LeMat-Bulk: a relaxed CeY2Co crystal (PBE).

Structure (POSCAR):
```
CeY2Co
1.0
3.532 0.000 0.000
1.766 3.058 0.000
1.766 1.019 10.310
Ce Y Co
1 2 1
Direct
0.000 0.000 0.000
0.888 0.888 0.335
0.112 0.112 0.665
0.500 0.500 0.500
```

Values from the calculation:
* theoretical density: 5.62 g cm⁻³
* DOS(E_F): 8.51 states/eV per cell
* SG: No. 166

2) Entry from Alexandria via LeMat-Bulk: a relaxed CeY2Co crystal (PBE).

Structure (POSCAR):
```
CeY2Co
1.0
-5.571 2.977 0.382
-1.628 -2.246 -6.235
-3.933 -7.854 3.856
Y Co Ce
8 4 4
Direct
0.676 0.834 0.568
0.824 0.334 0.568
0.176 0.666 0.432
0.324 0.166 0.068
0.676 0.834 0.932
0.324 0.166 0.432
0.176 0.666 0.068
0.824 0.334 0.932
0.510 0.138 0.750
0.990 0.638 0.750
0.010 0.362 0.250
0.490 0.862 0.250
0.848 0.062 0.250
0.152 0.938 0.750
0.348 0.438 0.750
0.652 0.562 0.250
```

Values from the calculation:
* theoretical density: 6.04 g cm⁻³
* DOS(E_F): 26.97 states/eV per cell
* SG: No. 62

Which of them is least stable? Easy: 1).

1) Entry from Alexandria via LeMat-Bulk: a relaxed Ce3YCo2 crystal (PBE).

Structure (POSCAR):
```
Ce3YCo2
1.0
4.497 0.000 0.000
-2.249 8.756 0.253
0.000 -3.672 6.834
Ce Y Co
6 2 4
Direct
0.029 0.058 0.278
0.971 0.942 0.722
0.300 0.600 0.586
0.700 0.400 0.414
0.403 0.805 0.353
0.597 0.195 0.647
0.816 0.633 0.944
0.184 0.367 0.056
0.515 0.030 0.168
0.820 0.639 0.305
0.180 0.361 0.695
0.485 0.970 0.832
```

Values from the calculation:
* theoretical density: 7.62 g cm⁻³
* DOS(E_F): 17.04 states/eV per cell
* SG: No. 12

2) Entry from Alexandria via LeMat-Bulk: a relaxed Ce3YCo2 crystal (PBE).

Structure (POSCAR):
```
Ce3YCo2
1.0
-1.135 -4.189 -2.206
6.412 2.877 -3.388
1.499 -4.156 7.120
Co Ce Y
4 6 2
Direct
0.516 0.033 0.868
0.792 0.584 0.352
0.208 0.416 0.648
0.484 0.967 0.132
0.937 0.875 0.309
0.678 0.357 0.958
0.355 0.709 0.532
0.322 0.643 0.042
0.063 0.125 0.691
0.645 0.291 0.468
0.884 0.768 0.834
0.116 0.232 0.166
```

Values from the calculation:
* theoretical density: 7.61 g cm⁻³
* DOS(E_F): 20.27 states/eV per cell
* SG: No. 12

Which of them is least stable? Easy: 2).

1) Entry from Alexandria via LeMat-Bulk: a relaxed CeZr2Co crystal (PBE).

Structure (POSCAR):
```
CeZr2Co
1.0
3.223 0.000 0.000
0.000 3.223 0.000
0.000 0.000 7.988
Co Zr Ce
1 2 1
Direct
0.500 0.500 0.000
0.000 0.000 0.806
0.000 0.000 0.194
0.500 0.500 0.500
```

Values from the calculation:
* theoretical density: 7.63 g cm⁻³
* DOS(E_F): 7.34 states/eV per cell
* SG: No. 123

2) Entry from Alexandria via LeMat-Bulk: a relaxed CeZr2Co crystal (PBE).

Structure (POSCAR):
```
CeZr2Co
1.0
-1.303 3.013 0.719
-2.553 -3.822 3.501
6.530 1.339 6.222
Co Zr Ce
2 4 2
Direct
0.731 0.462 0.250
0.269 0.538 0.750
0.863 0.725 0.556
0.137 0.275 0.056
0.863 0.725 0.944
0.137 0.275 0.444
0.414 0.828 0.250
0.586 0.172 0.750
```

Values from the calculation:
* theoretical density: 7.48 g cm⁻³
* DOS(E_F): 11.62 states/eV per cell
* SG: No. 11

Which of them is least stable? Easy: 1).